1.
# Rb3GeBi3Se8

A relaxed structure of Rb3GeBi3Se8 (PBE, Alexandria).

a = 8.4156 Å, b = 8.4186 Å, c = 9.6079 Å
α = 116.01°, β = 90.00°, γ = 119.99°
Closest atoms and distances in Å follow each position.
Atoms (fractional coordinates):
Se 0.7347 0.4694 0.7042  3 Bi 2.96
Se 0.7911 0.5822 0.3161  1 Ge 2.64
Se 0.2339 0.0249 0.3161  1 Ge 2.64
Se 0.7910 0.0249 0.3161  1 Ge 2.64
Se 0.2089 0.4178 0.6839  1 Ge 2.64
Se 0.2653 0.5306 0.2958  3 Bi 2.96
Se 0.7661 0.9751 0.6839  1 Ge 2.64
Se 0.2090 0.9751 0.6839  1 Ge 2.64
Rb 0.0000 0.5000 0.0000  6 Se 3.45-3.49
Rb 0.5000 0.5000 0.0000  6 Se 3.45-3.49
Rb 0.0000 0.0000 0.0000  6 Se 3.45-3.49
Bi 0.5000 0.5000 0.5000  6 Se 2.96-3.00
Bi 0.0000 0.5000 0.5000  6 Se 2.96-3.00
Bi 0.5000 0.0000 0.5000  6 Se 2.96-3.00
Ge 0.0000 0.0000 0.5000  6 Se 2.64

Its crystal system is trigonal.


2.
# RbGeBiTe3

A relaxed structure of RbGeBiTe3 (PBE, Alexandria).

a = 4.3476 Å, b = 9.5104 Å, c = 12.2409 Å
α = 111.19°, β = 90.00°, γ = 90.00°
Closest atoms and distances in Å follow each position.
Atoms (fractional coordinates):
Te 0.7500 0.3841 0.1021  3 Bi 3.10-3.13
Te 0.2500 0.1028 0.7694  1 Ge 2.71
Te 0.7500 0.8972 0.2306  1 Ge 2.71
Te 0.2500 0.6774 0.4275  2 Ge 2.89, 1 Bi 3.19
Te 0.7500 0.3226 0.5725  2 Ge 2.89, 1 Bi 3.19
Te 0.2500 0.6159 0.8979  3 Bi 3.10-3.13
Bi 0.7500 0.3633 0.8433  6 Te 3.10-3.19
Bi 0.2500 0.6367 0.1567  6 Te 3.10-3.19
Rb 0.7500 0.7562 0.7080  7 Te 3.76-3.90, 1 Ge 3.80
Rb 0.2500 0.2438 0.2920  7 Te 3.76-3.90, 1 Ge 3.80
Ge 0.7500 0.8866 0.4488  3 Te 2.71-2.89, 2 Ge 3.00
Ge 0.2500 0.1134 0.5512  3 Te 2.71-2.89, 2 Ge 3.00

Its crystal system is monoclinic.


The following uncorrected formation energy values (in meV/atom) correspond, in order, to the records above: -628; -434.
The following magnetization values (in μB/f.u.) correspond, in order, to the records above: 0.000; 0.000.
The following E_tot values (in eV per atom) correspond, in order, to the records above: -3.764; -3.582.